No. 1
CaYRu | the Alexandria database | GGA-PBE | optimized geometry; energy relative to the elements = 0.001 eV/atom; distance to the lowest polymorph of the same formula = 0.108 eV/atom; crystal system = orthorhombic
1.0
3.367 -6.730 0.000
3.367 6.730 0.000
0.000 0.000 7.261
Ca Y Ru
4 4 4
Cartesian
3.367 4.028 6.470
3.367 2.703 2.839
3.367 -2.703 4.422
3.367 -4.028 0.791
1.683 0.406 5.446
1.683 -0.406 1.815
5.050 0.406 5.446
5.050 -0.406 1.815
3.367 5.392 3.904
3.367 1.338 0.273
3.367 -1.338 6.988
3.367 -5.392 3.357



No. 2
SiBiP | the Alexandria database | GGA-PBE | optimized geometry; distance to the lowest polymorph of the same formula = 0.244 eV/atom; E_form (uncorrected) = 55 kJ/mol of formula units; crystal system = monoclinic
1.0
5.337 -1.726 0.000
5.337 1.726 0.000
-0.317 0.000 4.325
Si Bi P
1 1 1
Cartesian
0.000 0.000 0.000
1.703 0.000 2.338
3.962 0.000 0.192



No. 3
Pm2Ga2Ru | the Alexandria database | GGA-PBE | optimized geometry; energy relative to the elements = -0.546 eV/atom; distance to the lowest polymorph of the same formula = 0.000 eV/atom; crystal system = monoclinic
1.0
5.219 -2.260 0.000
5.219 2.260 0.000
-5.094 0.000 9.491
Pm Ga Ru
4 4 2
Cartesian
-1.107 0.000 3.689
-0.823 0.000 7.863
6.167 0.000 1.628
6.451 0.000 5.801
-3.880 0.000 8.848
2.030 0.000 3.588
3.314 0.000 5.903
9.224 0.000 0.643
3.008 0.000 1.189
2.336 0.000 8.301



No. 4
Tb2Y3PuSe6 | the Alexandria database | GGA-PBE | optimized geometry; E_form (uncorrected) = -2027 kJ/mol of formula units; crystal system = monoclinic
1.0
8.938 -2.040 0.000
8.938 2.040 0.000
-1.905 0.000 8.004
Tb Y Pu Se
2 3 1 6
Cartesian
2.305 0.000 2.633
13.667 0.000 5.371
1.365 0.000 6.686
7.986 0.000 4.002
14.608 0.000 1.318
8.938 0.000 0.000
-1.413 0.000 5.979
5.147 0.000 3.331
4.182 0.000 7.332
11.790 0.000 0.672
10.825 0.000 4.673
17.385 0.000 2.025



No. 5
Li2TePd6 | the Alexandria database | GGA-PBE | optimized geometry; distance to the lowest polymorph of the same formula = 0.027 eV/atom; E_form (uncorrected) = -227 kJ/mol of formula units; crystal system = monoclinic
1.0
5.708 -4.846 0.000
5.708 4.846 0.000
-2.329 0.000 5.247
Li Te Pd
4 2 12
Cartesian
1.121 0.259 2.006
-0.043 -0.259 4.629
9.131 0.259 0.618
7.966 -0.259 3.242
3.962 1.463 3.936
5.126 -1.463 1.312
1.348 1.946 4.063
4.526 3.494 2.470
5.727 3.494 0.154
3.716 0.800 1.378
2.551 -0.800 4.001
2.513 -1.946 1.439
6.575 1.946 3.808
6.537 0.800 1.246
5.372 -0.800 3.870
3.361 -3.494 5.093
4.562 -3.494 2.778
7.740 -1.946 1.185



No. 6
Li2PIr | the Alexandria database | GGA-PBE | optimized geometry; energy relative to the elements = -0.190 eV/atom; crystal system = tetragonal
1.0
2.589 0.000 0.000
0.000 2.589 0.000
0.000 0.000 8.079
Li P Ir
2 1 1
Cartesian
0.000 0.000 1.923
0.000 0.000 6.155
1.294 1.294 0.000
1.294 1.294 4.039



No. 7
Er3Ag2Pb | the Alexandria database | GGA-PBE | optimized geometry; energy relative to the elements = -0.345 eV/atom; crystal system = orthorhombic
1.0
2.575 -7.832 0.000
2.575 7.832 0.000
0.000 0.000 3.711
Er Ag Pb
3 2 1
Cartesian
0.000 0.000 0.000
2.575 2.702 0.000
2.575 -2.702 0.000
2.575 5.152 1.856
2.575 -5.152 1.856
2.575 0.000 1.856



No. 8
As4AuBr | the Alexandria database | GGA-PBE | optimized geometry; E_form (uncorrected) = 242 kJ/mol of formula units; crystal system = cubic
1.0
0.000 4.189 4.189
4.189 0.000 4.189
4.189 4.189 0.000
As Au Br
4 1 1
Cartesian
3.302 3.302 3.302
5.076 5.076 3.302
5.076 3.302 5.076
3.302 5.076 5.076
0.000 0.000 0.000
6.284 6.284 6.284



No. 9
Al2OsPbO8 | the Alexandria database | GGA-PBE | optimized geometry; E_form (uncorrected) = -1969 kJ/mol of formula units; crystal system = orthorhombic
1.0
3.230 -3.234 0.000
3.230 3.234 0.000
0.000 0.000 6.308
Al Os Pb O
2 1 1 8
Cartesian
0.000 0.000 1.565
0.000 0.000 4.742
3.230 0.000 3.154
3.230 0.000 0.000
3.230 2.115 0.000
3.230 1.921 3.154
1.877 0.000 1.772
1.877 0.000 4.535
4.584 0.000 1.772
4.584 0.000 4.535
3.230 -1.921 3.154
3.230 -2.115 0.000



No. 10
Mn2SiNi | the Alexandria database | GGA-PBE | optimized geometry; E_form (uncorrected) = -99 kJ/mol of formula units; crystal system = tetragonal
1.0
-1.812 1.812 3.531
1.812 -1.812 3.531
1.812 1.812 -3.531
Mn Si Ni
2 1 1
Cartesian
1.812 0.000 1.766
0.000 1.812 1.766
0.000 0.000 0.000
0.000 0.000 3.531



No. 11
Cr2SiRu | the Alexandria database | GGA-PBE | optimized geometry; E_form (uncorrected) = 117 kJ/mol of formula units; crystal system = tetragonal
1.0
-1.743 1.743 8.845
1.743 -1.743 8.845
1.743 1.743 -8.845
Cr Si Ru
4 2 2
Cartesian
2.614 0.696 -2.211
0.696 0.871 2.211
-0.871 1.047 6.634
1.047 0.871 11.057
0.000 0.000 0.000
0.000 1.743 4.423
1.743 0.000 4.423
0.000 0.000 8.845



No. 12
Pr3Dy7 | the Alexandria database | GGA-PBE | optimized geometry; energy relative to the elements = 0.177 eV/atom; distance to the lowest polymorph of the same formula = 0.157 eV/atom; crystal system = hexagonal
1.0
10.831 0.000 0.000
-5.415 9.380 0.000
0.000 0.000 6.534
Pr Dy
6 14
Cartesian
0.000 3.807 0.000
-2.118 7.476 0.000
3.297 1.904 3.267
2.118 7.476 0.000
7.533 1.904 3.267
5.415 5.572 3.267
-2.233 4.964 4.277
0.000 2.267 3.142
-3.452 8.246 3.142
1.964 1.134 6.408
0.000 6.253 2.269
2.233 4.964 4.277
0.000 8.832 4.277
5.415 0.548 1.010
3.182 4.416 1.010
5.415 3.127 5.536
3.452 8.246 3.142
8.867 1.134 6.408
5.415 7.112 6.408
7.649 4.416 1.010



no.,magnetic moment (μB/f.u.),theoretical density (g cm⁻³)
1,0.00,4.643
2,0.00,5.586
3,0.00,7.869
4,6.03,7.409
5,0.00,8.923
6,0.00,7.271
7,0.00,10.259
8,0.00,6.512
9,1.10,7.300
10,4.83,7.038
11,0.00,7.204
12,0.00,7.807